{
  "formula": "TbYAsO",
  "functional": "PBE-GGA",
  "state": "optimized geometry",
  "cell": [[4.359, 0.000, 0.000], [0.000, 4.359, 0.000], [0.000, 0.000, 8.756]],
  "species": ["Y", "Tb", "O", "Y", "Tb", "O", "As", "As"],
  "frac_coords": [[0.000, 0.000, 0.500], [0.500, 0.000, 0.100], [0.000, 0.000, 0.000], [0.500, 0.500, 0.500], [0.000, 0.500, 0.900], [0.500, 0.500, 0.000], [0.500, 0.000, 0.706], [0.000, 0.500, 0.294]],
  "rho_g_cm3": 6.76,
  "polymorph_energy_ev_per_fu": 0.28
}